Below is a geometry-optimized TiSn2F structure, with properties calculated at the PBE-GGA level.

The space group is Fm-3m (No. 225) and the conventional cell measures 6.8117, 6.8117 and 6.8117 Å, with angles of 90.00, 90.00 and 90.00 degrees. The asymmetric unit holds Ti at (0.0000, 0.0000, 0.0000), Sn at (0.2500, 0.2500, 0.2500) and F at (0.0000, 0.0000, 0.5000).

The formation energy (no corrections) comes out at -375 meV/atom. For the total energy, the calculation gives -4.82 eV per atom. The value obtained for the density of states at the Fermi level is 18.98 states/eV per cell.